Entry 1:
# PBE Tl2TcF6, optimized geometry
data_Tl2TcF6
_space_group_name_H-M_alt 'P -3 m 1'
_space_group_IT_number 164
_space_group_name_Hall '-P 3 2"'
_cell_length_a 6.1147
_cell_length_b 6.1147
_cell_length_c 4.9244
_cell_angle_alpha 90.00
_cell_angle_beta 90.00
_cell_angle_gamma 120.00
loop_
_atom_site_label
_atom_site_type_symbol
_atom_site_fract_x
_atom_site_fract_y
_atom_site_fract_z
Tl1 Tl 0.3333 0.6667 0.1998
Tc1 Tc 0.0000 0.0000 0.5000
F1 F 0.1556 0.3112 0.7206
# Energy relative to the elements, uncorrected ... -18.68 eV per formula unit
# Calculated total energy ... -5.0005 eV per atom
# Distance to the lowest polymorph of the same formula ... 0 meV/atom

---

Entry 2:
# PBE Pu4CuIr, optimized geometry
data_Pu4CuIr
_space_group_name_H-M_alt 'P -1'
_space_group_IT_number 2
_space_group_name_Hall '-P 1'
_cell_length_a 3.6706
_cell_length_b 5.2224
_cell_length_c 6.9047
_cell_angle_alpha 110.22
_cell_angle_beta 90.08
_cell_angle_gamma 90.13
loop_
_atom_site_label
_atom_site_type_symbol
_atom_site_fract_x
_atom_site_fract_y
_atom_site_fract_z
Pu1 Pu 0.0008 0.4244 0.2853
Pu2 Pu 0.4993 0.0619 0.2117
Cu1 Cu 0.0000 0.0000 0.5000
Ir1 Ir 0.5000 0.5000 0.0000
# Calculated total energy ... -11.6596 eV per atom
# E_form ... 0.05 eV/atom

---

Entry 3:
# PBE CaCr2Au, optimized geometry
data_CaCr2Au
_space_group_name_H-M_alt 'R 3 m'
_space_group_IT_number 160
_space_group_name_Hall 'R 3 -2"'
_cell_length_a 4.3733
_cell_length_b 4.3733
_cell_length_c 15.7925
_cell_angle_alpha 90.00
_cell_angle_beta 90.00
_cell_angle_gamma 120.00
loop_
_atom_site_label
_atom_site_type_symbol
_atom_site_fract_x
_atom_site_fract_y
_atom_site_fract_z
Ca1 Ca 0.0000 0.0000 0.0000
Cr1 Cr 0.0000 0.0000 0.4751
Cr2 Cr 0.0000 0.0000 0.7999
Au1 Au 0.0000 0.0000 0.2117
# Calculated total energy ... -5.9524 eV per atom
# Distance to the lowest polymorph of the same formula ... 45 meV/atom
# E_form ... 0.18 eV/atom

---

Entry 4:
# PBE YPtW, optimized geometry
data_YPtW
_space_group_name_H-M_alt 'I m m m'
_space_group_IT_number 71
_space_group_name_Hall '-I 2 2'
_cell_length_a 3.2898
_cell_length_b 4.4849
_cell_length_c 16.2574
_cell_angle_alpha 90.00
_cell_angle_beta 90.00
_cell_angle_gamma 90.00
loop_
_atom_site_label
_atom_site_type_symbol
_atom_site_fract_x
_atom_site_fract_y
_atom_site_fract_z
Y1 Y 0.0000 0.0000 0.1736
Pt1 Pt 0.0000 0.0000 0.3672
W1 W 0.0000 0.5000 0.0000
W2 W 0.0000 0.5000 0.5000
# Calculated total energy ... -8.9027 eV per atom
# E_form ... -0.42 eV/atom

---

Entry 5:
# PBE CaBe3Pt3, optimized geometry
data_CaBe3Pt3
_space_group_name_H-M_alt 'P m -3 n'
_space_group_IT_number 223
_space_group_name_Hall '-P 4n 2 3'
_cell_length_a 6.1974
_cell_length_b 6.1974
_cell_length_c 6.1974
_cell_angle_alpha 90.00
_cell_angle_beta 90.00
_cell_angle_gamma 90.00
loop_
_atom_site_label
_atom_site_type_symbol
_atom_site_fract_x
_atom_site_fract_y
_atom_site_fract_z
Ca1 Ca 0.0000 0.0000 0.0000
Be1 Be 0.0000 0.2500 0.5000
Pt1 Pt 0.0000 0.5000 0.2500
# Calculated total energy ... -4.9600 eV per atom
# E_form ... -0.49 eV/atom

---

Entry 6:
# PBE Tb3YHo2As6, optimized geometry
data_Tb3YHo2As6
_space_group_name_H-M_alt 'C 1 2/m 1'
_space_group_IT_number 12
_space_group_name_Hall '-C 2y'
_cell_length_a 17.9690
_cell_length_b 4.1241
_cell_length_c 8.2440
_cell_angle_alpha 90.00
_cell_angle_beta 103.23
_cell_angle_gamma 90.00
loop_
_atom_site_label
_atom_site_type_symbol
_atom_site_fract_x
_atom_site_fract_y
_atom_site_fract_z
Tb1 Tb 0.0000 0.0000 0.0000
Tb2 Tb 0.1666 0.5000 0.3331
Y1 Y 0.0000 0.0000 0.5000
Ho1 Ho 0.1668 0.5000 0.8333
As1 As 0.0006 0.5000 0.7499
As2 As 0.1672 0.0000 0.0818
As3 As 0.1666 0.0000 0.5848
# Calculated total energy ... -6.3236 eV per atom
# E_form ... -1.54 eV/atom

---

Entry 7:
# PBE CsHoTmTe3, optimized geometry
data_CsHoTmTe3
_space_group_name_H-M_alt 'P 1 21/m 1'
_space_group_IT_number 11
_space_group_name_Hall '-P 2yb'
_cell_length_a 9.6711
_cell_length_b 4.8808
_cell_length_c 11.2571
_cell_angle_alpha 90.00
_cell_angle_beta 113.77
_cell_angle_gamma 90.00
loop_
_atom_site_label
_atom_site_type_symbol
_atom_site_fract_x
_atom_site_fract_y
_atom_site_fract_z
Cs1 Cs 0.0118 0.2500 0.2497
Ho1 Ho 0.4511 0.2500 0.1183
Tm1 Tm 0.4984 0.2500 0.6294
Te1 Te 0.2380 0.7500 0.1219
Te2 Te 0.3202 0.7500 0.5389
Te3 Te 0.3318 0.2500 0.8267
# Energy relative to the elements, uncorrected ... -7.29 eV per formula unit
# Calculated total energy ... -4.4355 eV per atom

---

Entry 8:
# PBE CoPRu2, optimized geometry
data_CoPRu2
_space_group_name_H-M_alt 'P m m 2'
_space_group_IT_number 25
_space_group_name_Hall 'P 2 -2'
_cell_length_a 2.7905
_cell_length_b 3.5963
_cell_length_c 5.1013
_cell_angle_alpha 90.00
_cell_angle_beta 90.00
_cell_angle_gamma 90.00
loop_
_atom_site_label
_atom_site_type_symbol
_atom_site_fract_x
_atom_site_fract_y
_atom_site_fract_z
Co1 Co 0.0000 0.0000 0.0000
P1 P 0.5000 0.5000 0.2914
Ru1 Ru 0.0000 0.0000 0.4837
Ru2 Ru 0.5000 0.5000 0.8272
# Calculated total energy ... -7.7391 eV per atom
# E_form ... 0.03 eV/atom